# 1
## Tb3HoP4 (GGA-PBE)

Data for a relaxed Tb3HoP4 crystal.

Its formation energy from the elements is -1.613 eV per atom.

The structure belongs to space group Cmmm (No. 65); the cell edges are 8.0353, 11.3621 and 4.0192 Å and the angles 90.00°, 90.00° and 90.00°. The asymmetric unit holds Tb at (0.0000, 0.0000, 0.0000), Tb at (0.2500, 0.2500, 0.5000), Ho at (0.0000, 0.5000, 0.0000), P at (0.0000, 0.2509, 0.0000) and P at (0.2483, 0.5000, 0.5000).

---

# 2
## Tb3Ho5P8 (GGA-PBE)

Data for a relaxed Tb3Ho5P8 crystal.

Its formation energy from the elements is -1.613 eV per atom.

The structure belongs to space group R-3m (No. 166, hexagonal axes); the cell edges are 8.0030, 8.0030 and 19.6072 Å and the angles 90.00°, 90.00° and 120.00°. The asymmetric unit holds Tb at (0.0000, 0.5000, 0.0000), Ho at (0.0000, 0.0000, 0.0000), Ho at (0.0000, 0.0000, 0.5000), Ho at (0.0000, 0.5000, 0.5000), P at (0.0000, 0.0000, 0.2491) and P at (0.0011, 0.5006, 0.7506).

---

# 3
## TbHoP (GGA-PBE)

Data for a relaxed TbHoP crystal.

The energy above the most stable polymorph in this dataset comes out at 0.119 eV per formula unit. Its formation energy from the elements is -0.967 eV per atom.

The structure belongs to space group P3m1 (No. 156); the cell edges are 3.8989, 3.8989 and 6.3603 Å and the angles 90.00°, 90.00° and 120.00°. The asymmetric unit holds Tb at (0.0000, 0.0000, 0.0000), Ho at (0.3333, 0.6667, 0.4986) and P at (0.6667, 0.3333, 0.2522).

---

# 4
## Tb2HoP (GGA-PBE)

Data for a relaxed Tb2HoP crystal.

Its formation energy from the elements is -0.670 eV per atom.

The structure belongs to space group R-3m (No. 166, hexagonal axes); the cell edges are 3.7922, 3.7922 and 28.1448 Å and the angles 90.00°, 90.00° and 120.00°. The asymmetric unit holds Tb at (0.0000, 0.0000, 0.2258), Ho at (0.0000, 0.0000, 0.0000) and P at (0.0000, 0.0000, 0.5000).

---

# 5
## TbHoTeP (GGA-PBE)

Data for a relaxed TbHoTeP crystal.

The electronic total energy comes out at -5.968 eV per atom.

The structure belongs to space group R3m (No. 160, hexagonal axes); the cell edges are 4.0721, 4.0721 and 21.6786 Å and the angles 90.00°, 90.00° and 120.00°. The asymmetric unit holds Tb at (0.0000, 0.0000, 0.0000), Ho at (0.0000, 0.0000, 0.8061), Te at (0.0000, 0.0000, 0.2351) and P at (0.0000, 0.0000, 0.4059).

---

# 6
## TbHo2Th3P6 (GGA-PBE)

Data for a relaxed TbHo2Th3P6 crystal.

Its formation energy from the elements is -1.585 eV per atom.

The structure belongs to space group C2/m (No. 12); the cell edges are 7.0836, 12.2486 and 7.0162 Å and the angles 90.00°, 109.65° and 90.00°. The asymmetric unit holds Tb at (0.0000, 0.0000, 0.0000), Ho at (0.0000, 0.3332, 0.0000), Th at (0.0000, 0.1664, 0.5000), Th at (0.0000, 0.5000, 0.5000), P at (0.2459, 0.5000, 0.2421) and P at (0.2481, 0.1674, 0.2424).

---

# 7
## Tb2HoThP4 (GGA-PBE)

Data for a relaxed Tb2HoThP4 crystal.

Its formation energy from the elements is -1.614 eV per atom.

The structure belongs to space group P2/m (No. 10); the cell edges are 7.0056, 4.0565 and 7.0126 Å and the angles 90.00°, 109.47° and 90.00°. The asymmetric unit holds Tb at (0.0000, 0.0000, 0.0000), Tb at (0.5000, 0.5000, 0.0000), Ho at (0.0000, 0.5000, 0.5000), Th at (0.5000, 0.0000, 0.5000), P at (0.2452, 0.5000, 0.2471) and P at (0.2469, 0.0000, 0.7497).

---

# 8
## TbHo3Th2P6 (GGA-PBE)

Data for a relaxed TbHo3Th2P6 crystal.

Its formation energy from the elements is -1.601 eV per atom.

The structure belongs to space group C2/m (No. 12); the cell edges are 17.6341, 4.0587 and 8.0809 Å and the angles 90.00°, 103.08° and 90.00°. The asymmetric unit holds Tb at (0.0000, 0.0000, 0.0000), Ho at (0.0000, 0.0000, 0.5000), Ho at (0.1659, 0.5000, 0.8342), Th at (0.1649, 0.5000, 0.3302), P at (0.0020, 0.5000, 0.7491), P at (0.1651, 0.0000, 0.5878) and P at (0.1671, 0.0000, 0.0775).

---

# 9
## Tb2HoTmP4 (GGA-PBE)

Data for a relaxed Tb2HoTmP4 crystal.

Its formation energy from the elements is -1.611 eV per atom.

The structure belongs to space group P2/m (No. 10); the cell edges are 6.9225, 3.9996 and 6.9244 Å and the angles 90.00°, 109.47° and 90.00°. The asymmetric unit holds Tb at (0.0000, 0.0000, 0.0000), Tb at (0.0000, 0.5000, 0.5000), Ho at (0.5000, 0.0000, 0.5000), Tm at (0.5000, 0.5000, 0.0000), P at (0.2534, 0.5000, 0.2500) and P at (0.2541, 0.0000, 0.7525).

---

# 10
## TbHoTm2P4 (GGA-PBE)

Data for a relaxed TbHoTm2P4 crystal.

Its formation energy from the elements is -1.609 eV per atom.

The structure belongs to space group P2/m (No. 10); the cell edges are 6.8888, 3.9791 and 6.8893 Å and the angles 90.00°, 109.47° and 90.00°. The asymmetric unit holds Tb at (0.0000, 0.0000, 0.0000), Ho at (0.0000, 0.5000, 0.5000), Tm at (0.5000, 0.0000, 0.5000), Tm at (0.5000, 0.5000, 0.0000), P at (0.2533, 0.0000, 0.7500) and P at (0.2542, 0.5000, 0.2525).

---

# 11
## Tb2HoUP4 (GGA-PBE)

Data for a relaxed Tb2HoUP4 crystal.

Its formation energy from the elements is -1.453 eV per atom.

The structure belongs to space group P2/m (No. 10); the cell edges are 6.9026, 3.9778 and 6.9098 Å and the angles 90.00°, 109.22° and 90.00°. The asymmetric unit holds Tb at (0.0000, 0.0000, 0.0000), Tb at (0.5000, 0.5000, 0.0000), Ho at (0.0000, 0.5000, 0.5000), U at (0.5000, 0.0000, 0.5000), P at (0.2531, 0.0000, 0.7434) and P at (0.2550, 0.5000, 0.2568).

---

# 12
## TbHoU2P4 (GGA-PBE)

Data for a relaxed TbHoU2P4 crystal.

Its formation energy from the elements is -1.293 eV per atom.

The structure belongs to space group P2/m (No. 10); the cell edges are 6.8368, 3.9486 and 6.9484 Å and the angles 90.00°, 109.16° and 90.00°. The asymmetric unit holds Tb at (0.0000, 0.0000, 0.0000), Ho at (0.5000, 0.5000, 0.0000), U at (0.0000, 0.5000, 0.5000), U at (0.5000, 0.0000, 0.5000), P at (0.2497, 0.0000, 0.7453) and P at (0.2532, 0.5000, 0.2557).

---

# 13
## Tb2Y3HoP6 (GGA-PBE)

Data for a relaxed Tb2Y3HoP6 crystal.

Its formation energy from the elements is -1.621 eV per atom.

The structure belongs to space group C2/m (No. 12); the cell edges are 6.9532, 12.0414 and 6.9533 Å and the angles 90.00°, 109.45° and 90.00°. The asymmetric unit holds Tb at (0.0000, 0.1666, 0.0000), Y at (0.0000, 0.0000, 0.5000), Y at (0.0000, 0.3331, 0.5000), Ho at (0.0000, 0.5000, 0.0000), P at (0.2492, 0.3340, 0.2497) and P at (0.2487, 0.5000, 0.7500).

---

# 14
## TbHo2ZrP4 (GGA-PBE)

Data for a relaxed TbHo2ZrP4 crystal.

Its formation energy from the elements is -1.549 eV per atom.

The structure belongs to space group P2/m (No. 10); the cell edges are 6.7973, 3.9222 and 6.8012 Å and the angles 90.00°, 109.28° and 90.00°. The asymmetric unit holds Tb at (0.0000, 0.0000, 0.0000), Ho at (0.5000, 0.0000, 0.5000), Ho at (0.5000, 0.5000, 0.0000), Zr at (0.0000, 0.5000, 0.5000), P at (0.2412, 0.0000, 0.7395) and P at (0.2464, 0.5000, 0.2572).

---

# 15
## TbHoZr2P4 (GGA-PBE)

Data for a relaxed TbHoZr2P4 crystal.

Its formation energy from the elements is -1.482 eV per atom.

The structure belongs to space group P2/m (No. 10); the cell edges are 6.6674, 3.8456 and 6.7467 Å and the angles 90.00°, 109.28° and 90.00°. The asymmetric unit holds Tb at (0.0000, 0.0000, 0.0000), Ho at (0.5000, 0.5000, 0.0000), Zr at (0.0000, 0.5000, 0.5000), Zr at (0.5000, 0.0000, 0.5000), P at (0.2466, 0.0000, 0.7363) and P at (0.2561, 0.5000, 0.2646).

---

# 16
## HoTc6P4 (GGA-PBE)

Data for a relaxed HoTc6P4 crystal.

Its formation energy from the elements is -0.274 eV per atom.

The structure belongs to space group I-42m (No. 121); the cell edges are 5.8684, 5.8684 and 10.2200 Å and the angles 90.00°, 90.00° and 90.00°. The asymmetric unit holds Ho at (0.0000, 0.0000, 0.0000), Tc at (0.0000, 0.5000, 0.0000), Tc at (0.1736, 0.1736, 0.6887) and P at (0.2052, 0.2052, 0.3887).

---

# 17
## HoTcP (GGA-PBE)

Data for a relaxed HoTcP crystal.

Its formation energy from the elements is -0.668 eV per atom.

The structure belongs to space group P-6m2 (No. 187); the cell edges are 4.1118, 4.1118 and 3.8229 Å and the angles 90.00°, 90.00° and 120.00°. The asymmetric unit holds Ho at (0.0000, 0.0000, 0.0000), Tc at (0.3333, 0.6667, 0.5000) and P at (0.6667, 0.3333, 0.5000).

---

# 18
## HoTc2P2 (GGA-PBE)

Data for a relaxed HoTc2P2 crystal.

Its formation energy from the elements is -0.904 eV per atom.

The structure belongs to space group I4/mmm (No. 139); the cell edges are 4.1583, 4.1583 and 9.3939 Å and the angles 90.00°, 90.00° and 90.00°. The asymmetric unit holds Ho at (0.0000, 0.0000, 0.0000), Tc at (0.0000, 0.5000, 0.2500) and P at (0.0000, 0.0000, 0.3699).

---

# 19
## Ho2Tc12P7 (GGA-PBE)

Data for a relaxed Ho2Tc12P7 crystal.

Its formation energy from the elements is -0.597 eV per atom.

The structure belongs to space group P-6 (No. 174); the cell edges are 9.5470, 9.5470 and 3.9523 Å and the angles 90.00°, 90.00° and 120.00°. The asymmetric unit holds Ho at (0.0000, 0.0000, 0.0000), Ho at (0.3333, 0.6667, 0.5000), Tc at (0.0660, 0.7662, 0.5000), Tc at (0.0994, 0.3754, 0.0000), Tc at (0.3931, 0.2166, 0.0000), Tc at (0.5444, 0.1173, 0.5000), P at (0.0725, 0.6083, 0.0000), P at (0.2645, 0.0585, 0.5000) and P at (0.6667, 0.3333, 0.0000).

---

# 20
## HoTc3P2 (GGA-PBE)

Data for a relaxed HoTc3P2 crystal.

Its formation energy from the elements is -0.648 eV per atom.

The structure belongs to space group C2/m (No. 12); the cell edges are 15.6675, 4.0365 and 9.4306 Å and the angles 90.00°, 105.81° and 90.00°. The asymmetric unit holds Ho at (0.0000, 0.0000, 0.0000), Ho at (0.1619, 0.0000, 0.7108), Tc at (0.0000, 0.5000, 0.5000), Tc at (0.0354, 0.0000, 0.3595), Tc at (0.1173, 0.5000, 0.2025), Tc at (0.1793, 0.5000, 0.9794), Tc at (0.2080, 0.0000, 0.3892), P at (0.0408, 0.5000, 0.7918), P at (0.1473, 0.5000, 0.4637) and P at (0.1987, 0.0000, 0.1335).

---

# 21
## HoTc4P2 (GGA-PBE)

Data for a relaxed HoTc4P2 crystal.

Its formation energy from the elements is -0.710 eV per atom.

The structure belongs to space group Cmmm (No. 65); the cell edges are 4.0456, 13.5112 and 4.0061 Å and the angles 90.00°, 90.00° and 90.00°. The asymmetric unit holds Ho at (0.0000, 0.0000, 0.0000), Tc at (0.0000, 0.1822, 0.5000), Tc at (0.0000, 0.3097, 0.0000) and P at (0.0000, 0.4142, 0.5000).

---

# 22
## HoTc3P3 (GGA-PBE)

Data for a relaxed HoTc3P3 crystal.

The energy above the most stable polymorph in this dataset comes out at 3.002 eV per formula unit. Its formation energy from the elements is -0.221 eV per atom.

The structure belongs to space group Pm-3n (No. 223); the cell edges are 6.4343, 6.4343 and 6.4343 Å and the angles 90.00°, 90.00° and 90.00°. The asymmetric unit holds Ho at (0.0000, 0.0000, 0.0000), Tc at (0.0000, 0.2500, 0.5000) and P at (0.0000, 0.5000, 0.2500).

---

# 23
## HoTc3P3 (GGA-PBE)

Data for a relaxed HoTc3P3 crystal.

The energy above the most stable polymorph in this dataset comes out at 0.000 eV per formula unit. Its formation energy from the elements is -0.650 eV per atom.

The structure belongs to space group R-3 (No. 148, hexagonal axes); the cell edges are 6.6643, 6.6643 and 19.6984 Å and the angles 90.00°, 90.00° and 120.00°. The asymmetric unit holds Ho at (0.0000, 0.0000, 0.1655), Tc at (0.0207, 0.7091, 0.7123) and P at (0.0157, 0.7128, 0.5908).

---

| no. | M_tot (μB per cell) | V (Å³ per cell) |
| --- | --- | --- |
| 1 | 0.0 | 366.94 |
| 2 | 0.0 | 1087.55 |
| 3 | 0.0 | 83.73 |
| 4 | 0.8 | 350.53 |
| 5 | 0.0 | 311.32 |
| 6 | 0.0 | 573.29 |
| 7 | 0.0 | 187.89 |
| 8 | 0.0 | 563.35 |
| 9 | 0.0 | 180.75 |
| 10 | 0.0 | 178.05 |
| 11 | 2.0 | 179.15 |
| 12 | 4.6 | 177.18 |
| 13 | 0.0 | 548.96 |
| 14 | 0.0 | 171.16 |
| 15 | 0.0 | 163.28 |
| 16 | 0.0 | 351.96 |
| 17 | 0.0 | 55.97 |
| 18 | 0.0 | 162.43 |
| 19 | 0.0 | 311.97 |
| 20 | 0.0 | 573.84 |
| 21 | 0.0 | 218.98 |
| 22 | 0.0 | 266.38 |
| 23 | 0.0 | 757.65 |